[1]
Ce4ErMg (PBE, optimized geometry); final energy = -4.740 eV/atom
1.0
6.250 0.000 0.000
3.125 5.413 0.000
3.125 1.804 5.103
Ce Er Mg
4 1 1
direct
0.633 0.100 0.633
0.633 0.633 0.100
0.100 0.633 0.633
0.633 0.633 0.633
0.250 0.250 0.250
0.000 0.000 0.000


[2]
Ce2ErMg (PBE, optimized geometry); excess energy over the best structure of this formula in the dataset = 0.1479 eV/atom
1.0
3.259 0.000 0.000
1.630 2.823 0.000
1.630 0.941 12.470
Mg Er Ce
1 1 2
direct
0.000 0.000 0.000
0.500 0.500 0.500
0.912 0.912 0.264
0.088 0.088 0.736


[3]
CeErMg2 (PBE, optimized geometry); excess energy over the best structure of this formula in the dataset = 0.0000 eV/atom
1.0
5.364 0.000 0.000
2.682 4.646 0.000
2.682 1.549 4.380
Ce Er Mg
1 1 2
direct
0.000 0.000 0.000
0.500 0.500 0.500
0.250 0.250 0.250
0.750 0.750 0.750


[4]
Ce2ErMg (PBE, optimized geometry); excess energy over the best structure of this formula in the dataset = 0.0680 eV/atom
1.0
5.497 0.000 0.000
2.749 4.761 0.000
2.749 1.587 4.488
Ce Mg Er
2 1 1
direct
0.750 0.750 0.750
0.250 0.250 0.250
0.500 0.500 0.500
0.000 0.000 0.000


[5]
CeEr4Mg5 (PBE, optimized geometry); final energy = -3.251 eV/atom
1.0
3.760 0.000 0.000
0.000 3.760 0.000
0.000 0.000 19.030
Er Ce Mg
4 1 5
direct
0.000 0.000 0.598
0.000 0.000 0.204
0.000 0.000 0.402
0.000 0.000 0.796
0.000 0.000 0.000
0.500 0.500 0.303
0.500 0.500 0.894
0.500 0.500 0.500
0.500 0.500 0.697
0.500 0.500 0.106


[6]
CeEr2Mg6 (PBE, optimized geometry); final energy = -2.766 eV/atom
1.0
6.686 4.244 4.399
-7.844 -1.675 4.211
1.155 -2.868 1.011
Er Mg Ce
2 6 1
direct
0.333 0.667 0.000
0.667 0.333 0.000
0.335 0.335 0.500
0.335 0.000 0.500
0.665 0.000 0.500
0.000 0.665 0.500
0.665 0.665 0.500
0.000 0.335 0.500
0.000 0.000 0.000


[7]
CeErMg (PBE, optimized geometry); excess energy over the best structure of this formula in the dataset = 0.0325 eV/atom
1.0
3.389 0.000 0.000
-1.694 2.935 0.000
0.000 0.000 8.487
Mg Ce Er
1 1 1
direct
0.000 0.000 0.004
0.333 0.667 0.667
0.667 0.333 0.329


[8]
CeEr5Mg6 (PBE, optimized geometry); final energy = -3.236 eV/atom
1.0
5.066 -0.030 1.686
0.040 7.531 0.013
0.000 -0.015 8.433
Ce Er Mg
1 5 6
direct
0.000 0.000 0.000
0.664 0.500 0.672
0.667 0.000 0.666
0.333 0.000 0.334
0.336 0.500 0.328
0.000 0.500 0.000
0.831 0.747 0.337
0.831 0.253 0.337
0.169 0.253 0.663
0.169 0.747 0.663
0.500 0.251 0.000
0.500 0.749 0.000


[9]
Ce2ErMg (PBE, optimized geometry); excess energy over the best structure of this formula in the dataset = 0.0099 eV/atom
1.0
3.310 0.000 0.000
1.655 2.867 0.000
1.655 0.956 11.736
Er Ce Mg
1 2 1
direct
0.667 0.667 0.000
0.084 0.084 0.749
0.250 0.250 0.251
0.500 0.500 0.500


[10]
CeErMg17 (PBE, optimized geometry); final energy = -1.983 eV/atom
1.0
-0.415 6.594 -4.115
-7.343 1.890 1.760
1.541 4.965 5.793
Er Mg Ce
1 17 1
direct
0.328 0.328 0.328
0.349 0.849 0.349
0.303 0.695 0.002
0.504 0.995 0.995
0.645 0.170 0.645
0.002 0.303 0.695
0.303 0.002 0.695
0.849 0.349 0.349
0.002 0.695 0.303
0.100 0.100 0.100
0.695 0.002 0.303
0.995 0.504 0.995
0.349 0.349 0.849
0.170 0.645 0.645
0.995 0.995 0.504
0.695 0.303 0.002
0.645 0.645 0.170
0.902 0.902 0.902
0.669 0.669 0.669


[11]
CeErMg (PBE, optimized geometry); excess energy over the best structure of this formula in the dataset = 0.0000 eV/atom
1.0
-0.111 -2.251 2.535
3.195 0.777 0.830
-3.995 5.974 2.860
Ce Er Mg
1 1 1
direct
0.331 0.331 0.661
0.005 0.005 0.010
0.664 0.664 0.328


[12]
CeEr3Mg4 (PBE, optimized geometry); final energy = -3.278 eV/atom
1.0
3.757 0.000 0.000
0.000 5.360 0.000
0.000 0.000 10.703
Mg Er Ce
4 3 1
direct
0.000 0.500 0.255
0.000 0.500 0.745
0.000 0.000 0.500
0.000 0.000 0.000
0.500 0.000 0.751
0.500 0.500 0.500
0.500 0.000 0.249
0.500 0.500 0.000


[13]
CeErMgMn (PBE, optimized geometry); final energy = -5.181 eV/atom
1.0
-2.205 4.199 -1.996
-5.041 0.811 0.641
-1.626 3.773 3.099
Mg Er Mn Ce
1 1 1 1
direct
0.250 0.250 0.250
0.500 0.500 0.500
0.750 0.750 0.750
0.000 0.000 0.000


[14]
CeNdErMg (PBE, optimized geometry); final energy = -4.128 eV/atom
1.0
-1.790 2.776 -4.459
2.207 -1.036 -4.985
-2.997 -2.609 -3.874
Ce Er Mg Nd
1 1 1 1
direct
0.250 0.250 0.250
0.500 0.500 0.500
0.000 0.000 0.000
0.750 0.750 0.750


[15]
CeErMgPa (PBE, optimized geometry); final energy = -5.086 eV/atom
1.0
5.333 0.000 0.000
2.666 4.618 0.000
2.666 1.539 4.354
Ce Mg Er Pa
1 1 1 1
direct
0.750 0.750 0.750
0.000 0.000 0.000
0.250 0.250 0.250
0.500 0.500 0.500


[16]
CeErMgPb (PBE, optimized geometry); final energy = -4.156 eV/atom
1.0
-0.933 1.184 -5.192
0.058 -3.923 -3.720
-4.612 -1.571 -2.344
Pb Ce Mg Er
1 1 1 1
direct
0.500 0.500 0.500
0.750 0.750 0.750
0.000 0.000 0.000
0.250 0.250 0.250


[17]
CePmErMg (PBE, optimized geometry); final energy = -4.088 eV/atom
1.0
5.534 0.000 0.000
2.767 4.792 0.000
2.767 1.597 4.518
Mg Pm Ce Er
1 1 1 1
direct
0.000 0.000 0.000
0.500 0.500 0.500
0.750 0.750 0.750
0.250 0.250 0.250


[18]
CeErMgPt (PBE, optimized geometry); final energy = -5.015 eV/atom
1.0
5.120 0.000 0.000
2.560 4.434 0.000
2.560 1.478 4.181
Mg Pt Er Ce
1 1 1 1
direct
0.250 0.250 0.250
0.750 0.750 0.750
0.500 0.500 0.500
0.000 0.000 0.000


[19]
CeErPuMg (PBE, optimized geometry); final energy = -6.472 eV/atom
1.0
5.379 0.000 0.000
2.690 4.659 0.000
2.690 1.553 4.392
Ce Pu Mg Er
1 1 1 1
direct
0.750 0.750 0.750
0.500 0.500 0.500
0.000 0.000 0.000
0.250 0.250 0.250


[20]
CeErMgRe (PBE, optimized geometry); final energy = -6.034 eV/atom
1.0
-4.988 0.120 -0.610
-2.987 -2.429 3.233
-2.864 2.597 3.214
Re Er Ce Mg
1 1 1 1
direct
0.500 0.500 0.500
0.750 0.750 0.750
0.250 0.250 0.250
0.000 0.000 0.000


[21]
CeErMgRh (PBE, optimized geometry); final energy = -5.166 eV/atom
1.0
-1.080 4.009 -2.913
-4.829 1.170 -1.015
-2.093 4.137 2.055
Rh Mg Er Ce
1 1 1 1
direct
0.750 0.750 0.750
0.250 0.250 0.250
0.000 0.000 0.000
0.500 0.500 0.500


[22]
CeErMgRu (PBE, optimized geometry); final energy = -5.480 eV/atom
1.0
5.029 0.000 0.000
2.514 4.355 0.000
2.514 1.452 4.106
Er Mg Ru Ce
1 1 1 1
direct
0.500 0.500 0.500
0.750 0.750 0.750
0.250 0.250 0.250
0.000 0.000 0.000


[23]
Ce3Er3MgSe8 (PBE, optimized geometry); final energy = -5.795 eV/atom
1.0
8.150 -0.001 0.000
-4.076 7.058 -0.024
0.000 -4.681 6.826
Ce Er Se Mg
3 3 8 1
direct
0.000 0.500 0.000
0.000 0.000 0.000
0.500 0.500 0.000
0.000 0.500 0.500
0.500 0.500 0.500
0.500 0.000 0.500
0.242 0.484 0.732
0.745 0.490 0.735
0.748 0.990 0.732
0.758 0.516 0.268
0.252 0.010 0.268
0.242 0.990 0.732
0.255 0.510 0.265
0.758 0.010 0.268
0.000 0.000 0.500


[24]
Ce2ErMg2Sn2 (PBE, optimized geometry); final energy = -4.221 eV/atom
1.0
-1.453 4.666 -0.159
-3.507 1.573 3.023
4.452 4.185 6.942
Sn Ce Mg Er
2 2 2 1
direct
0.731 0.731 0.807
0.269 0.269 0.193
0.138 0.138 0.586
0.862 0.862 0.414
0.406 0.406 0.782
0.594 0.594 0.218
0.000 0.000 0.000


[25]
TbCeErMg (PBE, optimized geometry); final energy = -4.095 eV/atom
1.0
-2.590 -0.123 -4.842
-5.276 -1.509 -0.255
-3.871 3.727 -1.139
Ce Mg Er Tb
1 1 1 1
direct
0.750 0.750 0.750
0.000 0.000 0.000
0.500 0.500 0.500
0.250 0.250 0.250


[26]
Tb2CeEr2Mg5 (PBE, optimized geometry); final energy = -3.111 eV/atom
1.0
5.134 0.000 0.000
0.000 10.556 0.000
0.000 0.000 10.556
Mg Ce Er Tb
10 2 4 4
direct
0.500 0.574 0.699
0.500 0.199 0.074
0.500 0.801 0.926
0.500 0.074 0.801
0.500 0.699 0.426
0.500 0.426 0.301
0.500 0.926 0.199
0.500 0.500 0.000
0.500 0.000 0.500
0.500 0.301 0.574
0.000 0.500 0.500
0.000 0.000 0.000
0.000 0.382 0.118
0.000 0.618 0.882
0.000 0.118 0.618
0.000 0.882 0.382
0.000 0.822 0.678
0.000 0.178 0.322
0.000 0.678 0.178
0.000 0.322 0.822


[27]
CeErMgTc (PBE, optimized geometry); excess energy over the best structure of this formula in the dataset = 0.1128 eV/atom
1.0
5.038 0.000 0.000
2.519 4.363 0.000
2.519 1.454 4.113
Mg Tc Ce Er
1 1 1 1
direct
0.250 0.250 0.250
0.750 0.750 0.750
0.000 0.000 0.000
0.500 0.500 0.500